Material: SrHfBe2B
Method: DFT, PBE
State: relaxed

Computed properties:
SG: P4/mmm, No. 123
DOS at the Fermi energy: 3.8 states/eV per cell
ΔE_f: 2145 meV/atom
Crystal system: tetragonal
Volume: 92.2 Å³ per cell

```
SrHfBe2B
1.0
4.5521 0.0000 0.0000
0.0000 4.5521 0.0000
0.0000 0.0000 4.4482
Sr Hf Be B
1 1 2 1
Cartesian
0.0000 0.0000 0.0000
2.2761 2.2761 2.2241
0.0000 2.2761 0.0000
2.2761 0.0000 0.0000
0.0000 0.0000 2.2241
```


Material: SrHf2BeB
Method: DFT, PBE
State: relaxed

Computed properties:
SG: P4/mmm, No. 123
DOS at the Fermi energy: 4.8 states/eV per cell
ΔE_f: 2977 meV/atom
Crystal system: tetragonal
Volume: 114.8 Å³ per cell

```
SrHf2BeB
1.0
5.1158 0.0000 0.0000
0.0000 5.1158 0.0000
0.0000 0.0000 4.3851
Sr Hf Be B
1 2 1 1
Cartesian
0.0000 0.0000 0.0000
0.0000 2.5579 0.0000
2.5579 0.0000 0.0000
0.0000 0.0000 2.1926
2.5579 2.5579 2.1926
```


Material: Hf2Ta2BeB4
Method: DFT, PBE
State: relaxed

Computed properties:
SG: I4/mmm, No. 139
DOS at the Fermi energy: 5.0 states/eV per cell
ΔE_f: 317 meV/atom
Crystal system: tetragonal
Volume: 111.5 Å³ per cell

```
Hf2Ta2BeB4
1.0
-2.8006 2.8006 3.5526
2.8006 -2.8006 3.5526
2.8006 2.8006 -3.5526
Hf Ta Be B
2 2 1 4
Cartesian
2.8006 0.0000 1.7763
0.0000 2.8006 1.7763
0.0000 0.0000 1.3094
0.0000 0.0000 5.7959
0.0000 0.0000 3.5526
1.4801 1.4801 0.0000
1.3205 -1.3205 3.5526
-1.3205 1.3205 3.5526
1.3205 1.3205 3.5526
```


Material: HfBeB2Te
Method: DFT, PBE
State: relaxed

Computed properties:
SG: P4/mmm, No. 123
DOS at the Fermi energy: 2.3 states/eV per cell
Crystal system: tetragonal
Raw formation energy: 934 meV per atom
Volume: 76.8 Å³ per cell

```
HfBeB2Te
1.0
3.9085 0.0000 0.0000
0.0000 3.9085 0.0000
0.0000 0.0000 5.0290
Hf Be B Te
1 1 2 1
Cartesian
0.0000 0.0000 0.0000
0.0000 0.0000 2.5145
0.0000 1.9543 2.5145
1.9543 0.0000 2.5145
1.9543 1.9543 0.0000
```


Material: BeHgB2
Method: DFT, PBE
State: relaxed

Computed properties:
SG: I4_1/amd, No. 141
DOS at the Fermi energy: 3.9 states/eV per cell
ΔE_f: 716 meV/atom
Crystal system: tetragonal
Volume: 179.7 Å³ per cell

```
BeHgB2
1.0
3.6319 0.0000 0.0000
0.0000 3.6319 0.0000
0.0000 0.0000 13.6267
Be Hg B
4 4 8
Cartesian
0.0000 0.9080 5.1100
0.0000 2.7239 8.5167
1.8160 0.9080 1.7033
1.8160 2.7239 11.9233
0.0000 0.9080 11.9233
0.0000 2.7239 1.7033
1.8160 0.9080 8.5167
1.8160 2.7239 5.1100
0.0000 0.0000 6.8133
0.0000 1.8160 6.8133
0.9080 0.9080 3.4067
0.9080 2.7239 10.2200
1.8160 0.0000 0.0000
1.8160 1.8160 0.0000
2.7239 0.9080 3.4067
2.7239 2.7239 10.2200
```


Material: BeHg2B
Method: DFT, PBE
State: relaxed

Computed properties:
SG: I-42d, No. 122
DOS at the Fermi energy: 7.3 states/eV per cell
ΔE_f: 1052 meV/atom
Crystal system: tetragonal
Volume: 290.4 Å³ per cell

```
BeHg2B
1.0
6.2050 0.0000 0.0000
0.0000 6.2050 0.0000
0.0000 0.0000 7.5429
Be Hg B
4 8 4
Cartesian
0.0000 0.0000 0.0000
0.0000 3.1025 1.8857
3.1025 0.0000 5.6572
3.1025 3.1025 3.7715
1.4352 1.5512 4.7143
1.5512 4.5377 6.6001
1.5512 4.7698 2.8286
1.6673 1.5512 0.9429
4.5377 4.6537 0.9429
4.6537 1.4352 2.8286
4.6537 1.6673 6.6001
4.7698 4.6537 4.7143
0.0000 0.0000 3.7715
0.0000 3.1025 5.6572
3.1025 0.0000 1.8857
3.1025 3.1025 0.0000
```


Material: BeHgB2
Method: DFT, PBE
State: relaxed

Computed properties:
SG: Fm-3m, No. 225
DOS at the Fermi energy: 2.7 states/eV per cell
ΔE_f: 1712 meV/atom
Crystal system: cubic
Volume: 192.3 Å³ per cell

```
BeHgB2
1.0
5.7722 0.0000 0.0000
0.0000 5.7722 0.0000
0.0000 0.0000 5.7722
Be Hg B
4 4 8
Cartesian
0.0000 0.0000 0.0000
0.0000 2.8861 2.8861
2.8861 0.0000 2.8861
2.8861 2.8861 0.0000
0.0000 0.0000 2.8861
0.0000 2.8861 0.0000
2.8861 0.0000 0.0000
2.8861 2.8861 2.8861
1.4430 1.4430 1.4430
1.4430 1.4430 4.3291
1.4430 4.3291 1.4430
1.4430 4.3291 4.3291
4.3291 1.4430 1.4430
4.3291 1.4430 4.3291
4.3291 4.3291 1.4430
4.3291 4.3291 4.3291
```


Material: BeHg2B
Method: DFT, PBE
State: relaxed

Computed properties:
SG: Fm-3m, No. 225
DOS at the Fermi energy: 9.4 states/eV per cell
ΔE_f: 1235 meV/atom
Crystal system: cubic
Volume: 255.9 Å³ per cell

```
BeHg2B
1.0
6.3484 0.0000 0.0000
0.0000 6.3484 0.0000
0.0000 0.0000 6.3484
Be Hg B
4 8 4
Cartesian
0.0000 0.0000 0.0000
0.0000 3.1742 3.1742
3.1742 0.0000 3.1742
3.1742 3.1742 0.0000
1.5871 1.5871 1.5871
1.5871 1.5871 4.7613
1.5871 4.7613 1.5871
1.5871 4.7613 4.7613
4.7613 1.5871 1.5871
4.7613 1.5871 4.7613
4.7613 4.7613 1.5871
4.7613 4.7613 4.7613
0.0000 0.0000 3.1742
0.0000 3.1742 0.0000
3.1742 0.0000 0.0000
3.1742 3.1742 3.1742
```


Material: Be3HgB
Method: DFT, PBE
State: relaxed

Computed properties:
SG: Pm-3m, No. 221
DOS at the Fermi energy: 1.6 states/eV per cell
ΔE_f: 1704 meV/atom
Crystal system: cubic
Volume: 86.1 Å³ per cell

```
Be3HgB
1.0
4.4165 0.0000 0.0000
0.0000 4.4165 0.0000
0.0000 0.0000 4.4165
Be Hg B
3 1 1
Cartesian
0.0000 0.0000 2.2083
0.0000 2.2083 0.0000
2.2083 0.0000 0.0000
0.0000 0.0000 0.0000
2.2083 2.2083 2.2083
```


Material: BeHg3B
Method: DFT, PBE
State: relaxed

Computed properties:
SG: Pm-3m, No. 221
DOS at the Fermi energy: 2.0 states/eV per cell
ΔE_f: 958 meV/atom
Crystal system: cubic
Volume: 103.4 Å³ per cell

```
BeHg3B
1.0
4.6933 0.0000 0.0000
0.0000 4.6933 0.0000
0.0000 0.0000 4.6933
Be Hg B
1 3 1
Cartesian
0.0000 0.0000 0.0000
0.0000 2.3466 2.3466
2.3466 0.0000 2.3466
2.3466 2.3466 0.0000
2.3466 2.3466 2.3466
```


Material: Be3HgB
Method: DFT, PBE
State: relaxed

Computed properties:
SG: Pm-3m, No. 221
DOS at the Fermi energy: 0.7 states/eV per cell
ΔE_f: 398 meV/atom
Crystal system: cubic
Volume: 57.5 Å³ per cell

```
Be3HgB
1.0
3.8605 0.0000 0.0000
0.0000 3.8605 0.0000
0.0000 0.0000 3.8605
Be Hg B
3 1 1
Cartesian
0.0000 0.0000 1.9303
0.0000 1.9303 0.0000
1.9303 0.0000 0.0000
1.9303 1.9303 1.9303
0.0000 0.0000 0.0000
```


Material: BeHgB3
Method: DFT, PBE
State: relaxed

Computed properties:
SG: Pm-3m, No. 221
DOS at the Fermi energy: 3.8 states/eV per cell
ΔE_f: 2670 meV/atom
Crystal system: cubic
Volume: 82.6 Å³ per cell

```
BeHgB3
1.0
4.3554 0.0000 0.0000
0.0000 4.3554 0.0000
0.0000 0.0000 4.3554
Be Hg B
1 1 3
Cartesian
0.0000 0.0000 0.0000
2.1777 2.1777 2.1777
0.0000 2.1777 2.1777
2.1777 0.0000 2.1777
2.1777 2.1777 0.0000
```